Ba2Y2Co4O11: optimized geometry, PBE+U.

Results
DOS(E_F) (states/eV per atom): 0.1046
E (eV/atom): -6.7757
Volume (Å³/atom): 12.46

Unit cell a=3.928 b=7.701 c=7.827 alpha=90.00 beta=90.00 gamma=90.00
Last column: magnetic moment on the atom in μB.
Sites, in units of the cell vectors:
Y: 0.500 0.500 0.228  0.02
Y: 0.500 0.500 0.772  0.02
Co: 0.000 0.255 0.000  2.35
Co: 0.000 0.745 0.000  2.35
Co: 0.000 0.259 0.500  2.86
Co: 0.000 0.741 0.500  2.86
Ba: 0.500 0.000 0.249  0.00
Ba: 0.500 0.000 0.751  0.00
O: 0.000 0.000 0.000  0.07
O: 0.500 0.315 0.500  0.10
O: 0.500 0.685 0.500  0.10
O: 0.500 0.279 0.000  0.03
O: 0.500 0.721 0.000  0.03
O: 0.000 0.303 0.270  0.17
O: 0.000 0.697 0.730  0.17
O: 0.000 0.697 0.270  0.17
O: 0.000 0.303 0.730  0.17
O: 0.000 0.000 0.500  0.26
O: 0.000 0.500 0.000  -0.02